{
  "formula": "NaZrFe2",
  "functional": "PBE",
  "state": "optimized geometry",
  "lattice_angstrom": [[7.1566, 0.0000, 0.0000], [0.0000, 7.1566, 0.0000], [0.0000, 0.0000, 5.5187]],
  "species": ["Na", "Na", "Na", "Na", "Zr", "Zr", "Zr", "Zr", "Fe", "Fe", "Fe", "Fe", "Fe", "Fe", "Fe", "Fe"],
  "frac_coords": [[0.0000, 0.0000, 0.0000], [0.0000, 0.5000, 0.2500], [0.5000, 0.0000, 0.7500], [0.5000, 0.5000, 0.5000], [0.0000, 0.0000, 0.5000], [0.0000, 0.5000, 0.7500], [0.5000, 0.0000, 0.2500], [0.5000, 0.5000, 0.0000], [0.2504, 0.2500, 0.1250], [0.2496, 0.2500, 0.6250], [0.2500, 0.7504, 0.3750], [0.2500, 0.7496, 0.8750], [0.7500, 0.2496, 0.3750], [0.7500, 0.2504, 0.8750], [0.7496, 0.7500, 0.1250], [0.7504, 0.7500, 0.6250]],
  "density_g_cm3": 5.309,
  "magnetic_moment_mub_per_atom": 0.879,
  "de_polymorph_ev_per_atom": 0.2391,
  "e_tot_ev_per_atom": -5.8296,
  "sg": "No. 122"
}


{
  "formula": "TlNiRh3",
  "functional": "PBE",
  "state": "optimized geometry",
  "lattice_angstrom": [[4.9542, 0.0000, 0.0000], [0.0000, 4.9542, 0.0000], [0.0000, 0.0000, 4.9542]],
  "species": ["Tl", "Ni", "Rh", "Rh", "Rh"],
  "frac_coords": [[0.0000, 0.0000, 0.0000], [0.5000, 0.5000, 0.5000], [0.0000, 0.0000, 0.5000], [0.0000, 0.5000, 0.0000], [0.5000, 0.0000, 0.0000]],
  "density_g_cm3": 7.808,
  "magnetic_moment_mub_per_atom": 0.701,
  "de_polymorph_ev_per_atom": 1.0928,
  "e_tot_ev_per_atom": -4.0843,
  "sg": "No. 221"
}